A geometry-optimized LiReNiN2 structure. Source: the Alexandria database, functional GGA-PBE.

a = 3.6869 Å, b = 3.4693 Å, c = 3.6869 Å
α = 90.00°, β = 90.00°, γ = 90.00°
Last column: magnetic moment on the atom in μB.
Element x y z (fractional)
1 Ni 0.0000 0.5000 0.0000  -0.02
2 Li 0.0000 0.0000 0.0000  0.00
3 Re 0.5000 0.5000 0.5000  0.08
4 N 0.5000 0.0000 0.0000  -0.01
5 N 0.0000 0.0000 0.5000  -0.02

Properties
- Space group: No. 123
- ΔE_f (raw): 1.78 eV/atom
- DOS at the Fermi energy: 1.33 states/eV per atom

---

A geometry-optimized PrTh2Sn structure. Source: the Alexandria database, functional GGA-PBE.

a = 3.5087 Å, b = 3.5087 Å, c = 12.7297 Å
α = 82.08°, β = 82.08°, γ = 60.00°
Element x y z (fractional)
1 Pr 0.5000 0.5000 0.5000
2 Sn 0.0000 0.0000 0.0000
3 Th 0.0852 0.0852 0.7445
4 Th 0.9148 0.9148 0.2555

Properties
- Energy of formation from the pure elements: 194 meV per atom
- Space group: No. 166
- DOS at the Fermi energy: 1.61 states/eV per atom

---

A geometry-optimized CaTl2Mo structure. Source: the Alexandria database, functional GGA-PBE.

a = 3.4038 Å, b = 3.9062 Å, c = 6.9185 Å
α = 90.00°, β = 90.00°, γ = 90.00°
Element x y z (fractional)
1 Mo 0.5000 0.5000 0.7500
2 Tl 0.0000 0.0000 0.5294
3 Ca 0.5000 0.5000 0.2500
4 Tl 0.0000 0.0000 0.9706

Properties
- Energy of formation from the pure elements: 349 meV per atom
- Space group: No. 47
- DOS at the Fermi energy: 0.70 states/eV per atom